# 1
Below is a relaxed Rb2TeSe crystal, with properties calculated at the PBE level.

Crystal system: monoclinic

Lattice parameters (Å, degrees): 5.335 9.520 6.871 90.00 102.87 90.00
Space group P2_1/m (No. 11)
Asymmetric unit:
Rb: 0.229 0.028 0.238 (multiplicity 4)
Te: 0.288 0.250 0.722 (multiplicity 2)
Se: 0.362 0.750 0.943 (multiplicity 2)

# 2
Below is a relaxed RbTe3Se crystal, with properties calculated at the PBE level.

N(E_F), states/eV/cell: 18.923
Crystal system: trigonal

Lattice parameters (Å, degrees): 9.2735 9.2735 13.8685 90.00 90.00 120.00
Space group R3c (No. 161, hexagonal axes)
Asymmetric unit:
Rb: 0.0000 0.0000 0.0000 (multiplicity 6)
Te: 0.0815 0.3695 0.3550 (multiplicity 18)
Se: 0.0000 0.0000 0.2552 (multiplicity 6)

# 3
Below is a relaxed RbTeSe3 crystal, with properties calculated at the PBE level.

Crystal system: triclinic

Lattice parameters (Å, degrees): 6.785 7.286 7.288 91.35 94.99 98.07
Space group P1 (No. 1)
Asymmetric unit:
Rb: 0.000 0.000 0.000 (multiplicity 1)
Rb: 0.482 0.648 0.234 (multiplicity 1)
Te: 0.080 0.626 0.590 (multiplicity 1)
Te: 0.612 0.052 0.648 (multiplicity 1)
Se: 0.012 0.931 0.468 (multiplicity 1)
Se: 0.430 0.256 0.872 (multiplicity 1)
Se: 0.482 0.728 0.736 (multiplicity 1)
Se: 0.515 0.165 0.171 (multiplicity 1)
Se: 0.877 0.371 0.293 (multiplicity 1)
Se: 0.954 0.504 0.010 (multiplicity 1)

# 4
Below is a relaxed RbTe2Se3 crystal, with properties calculated at the PBE level.

N(E_F), states/eV/cell: 2.895
Crystal system: orthorhombic

Lattice parameters (Å, degrees): 11.899 12.197 7.785 90.00 90.00 90.00
Space group Cmcm (No. 63)
Asymmetric unit:
Rb: 0.000 0.229 0.250 (multiplicity 4)
Te: 0.179 0.500 0.000 (multiplicity 8)
Se: 0.000 0.489 0.750 (multiplicity 4)
Se: 0.163 0.008 0.750 (multiplicity 8)

| no. | ΔE_f (raw) (eV/f.u.) | total DFT energy (no corrections) (eV per formula unit) |
| --- | --- | --- |
| 1 | -3.32 | -11.881 |
| 2 | -0.80 | -14.674 |
| 3 | -1.92 | -16.478 |
| 4 | -1.76 | -19.468 |